1.
An optimized crystal structure of Pa2ZnGa2, computed with PBE.

Summary:
Energy relative to the elements in meV per atom: -198.9
ΔE to the lowest computed polymorph in meV per atom: 12

Structure (POSCAR):
```
Pa2ZnGa2
1.0
2.321 -6.981 0.000
2.321 6.981 0.000
0.000 0.000 3.076
Pa Zn Ga
2 1 2
direct
0.104 0.896 0.000
0.896 0.104 0.000
0.500 0.500 0.500
0.299 0.701 0.500
0.701 0.299 0.500
```

---

2.
An optimized crystal structure of Pa3ZnGa12, computed with PBE.

Summary:
Energy relative to the elements in meV per atom: -250.0

Structure (POSCAR):
```
Pa3ZnGa12
1.0
4.291 0.000 0.000
0.000 4.291 0.000
0.000 0.000 16.711
Pa Zn Ga
3 1 12
direct
0.000 0.000 0.000
0.000 0.000 0.258
0.000 0.000 0.742
0.000 0.000 0.500
0.000 0.500 0.129
0.000 0.500 0.389
0.000 0.500 0.611
0.000 0.500 0.871
0.500 0.000 0.129
0.500 0.000 0.389
0.500 0.000 0.611
0.500 0.000 0.871
0.500 0.500 0.000
0.500 0.500 0.247
0.500 0.500 0.500
0.500 0.500 0.753
```

---

3.
An optimized crystal structure of Pa2ZnGa8, computed with PBE.

Summary:
Energy relative to the elements in meV per atom: -263.0

Structure (POSCAR):
```
Pa2ZnGa8
1.0
4.380 0.000 0.000
0.000 4.380 0.000
0.000 0.000 11.177
Pa Zn Ga
2 1 8
direct
0.000 0.000 0.188
0.000 0.000 0.812
0.000 0.000 0.500
0.000 0.500 0.000
0.000 0.500 0.372
0.000 0.500 0.628
0.500 0.000 0.000
0.500 0.000 0.372
0.500 0.000 0.628
0.500 0.500 0.185
0.500 0.500 0.815
```

---

4.
An optimized crystal structure of Pa2Zn12Ga5, computed with PBE.

Summary:
Energy relative to the elements in meV per atom: -79.1

Structure (POSCAR):
```
Pa2Zn12Ga5
1.0
4.626 2.671 4.332
-4.626 2.671 4.332
0.000 -5.342 4.332
Pa Zn Ga
2 12 5
direct
0.172 0.172 0.172
0.828 0.828 0.828
0.146 0.146 0.678
0.146 0.678 0.146
0.185 0.500 0.815
0.185 0.815 0.500
0.322 0.854 0.854
0.500 0.185 0.815
0.500 0.815 0.185
0.678 0.146 0.146
0.815 0.185 0.500
0.815 0.500 0.185
0.854 0.322 0.854
0.854 0.854 0.322
0.000 0.500 0.500
0.402 0.402 0.402
0.500 0.000 0.500
0.500 0.500 0.000
0.598 0.598 0.598
```

---

5.
An optimized crystal structure of PaZn2Ga, computed with PBE.

Summary:
Energy relative to the elements in meV per atom: -84.7

Structure (POSCAR):
```
PaZn2Ga
1.0
3.009 0.000 0.000
0.000 4.648 0.000
0.000 0.000 5.542
Pa Zn Ga
1 2 1
direct
0.000 0.000 0.000
0.500 0.500 0.249
0.500 0.500 0.751
0.500 0.000 0.500
```

---

6.
An optimized crystal structure of Pa3ZnGa, computed with PBE.

Summary:
Energy relative to the elements in meV per atom: -38.9

Structure (POSCAR):
```
Pa3ZnGa
1.0
7.561 0.000 0.000
0.000 7.561 0.000
0.000 0.000 7.561
Pa Zn Ga
12 4 4
direct
0.040 0.125 0.787
0.125 0.787 0.040
0.213 0.540 0.375
0.287 0.460 0.875
0.375 0.213 0.540
0.460 0.875 0.287
0.540 0.375 0.213
0.625 0.713 0.960
0.713 0.960 0.625
0.787 0.040 0.125
0.875 0.287 0.460
0.960 0.625 0.713
0.179 0.179 0.179
0.321 0.821 0.679
0.679 0.321 0.821
0.821 0.679 0.321
0.071 0.929 0.429
0.429 0.071 0.929
0.571 0.571 0.571
0.929 0.429 0.071
```

---

7.
An optimized crystal structure of Pa2Zn15Ga2, computed with PBE.

Summary:
Energy relative to the elements in meV per atom: -115.8

Structure (POSCAR):
```
Pa2Zn15Ga2
1.0
4.545 2.624 4.342
-4.545 2.624 4.342
0.000 -5.248 4.342
Pa Zn Ga
2 15 2
direct
0.166 0.166 0.166
0.834 0.834 0.834
0.000 0.500 0.500
0.147 0.147 0.668
0.147 0.668 0.147
0.193 0.500 0.807
0.193 0.807 0.500
0.332 0.853 0.853
0.500 0.000 0.500
0.500 0.193 0.807
0.500 0.500 0.000
0.500 0.807 0.193
0.668 0.147 0.147
0.807 0.193 0.500
0.807 0.500 0.193
0.853 0.332 0.853
0.853 0.853 0.332
0.399 0.399 0.399
0.601 0.601 0.601
```

---

8.
An optimized crystal structure of PaZn3Ga2, computed with PBE.

Summary:
Energy relative to the elements in meV per atom: -159.1

Structure (POSCAR):
```
PaZn3Ga2
1.0
7.584 -2.130 0.000
7.584 2.130 0.000
-3.250 0.000 6.770
Pa Zn Ga
2 6 4
direct
0.144 0.144 0.080
0.856 0.856 0.920
0.026 0.026 0.361
0.313 0.313 0.534
0.367 0.367 0.220
0.633 0.633 0.780
0.687 0.687 0.466
0.974 0.974 0.639
0.197 0.197 0.706
0.479 0.479 0.825
0.521 0.521 0.175
0.803 0.803 0.294
```

---

9.
An optimized crystal structure of Pa2ZnGa, computed with PBE.

Summary:
Energy relative to the elements in meV per atom: -147.2
ΔE to the lowest computed polymorph in meV per atom: 0

Structure (POSCAR):
```
Pa2ZnGa
1.0
4.351 0.000 0.000
0.000 4.351 0.000
0.000 0.000 4.427
Pa Zn Ga
2 1 1
direct
0.000 0.500 0.000
0.500 0.000 0.000
0.000 0.000 0.500
0.500 0.500 0.500
```

---

10.
An optimized crystal structure of ZrPaZnGa, computed with PBE.

Summary:
Energy relative to the elements in meV per atom: -143.0

Structure (POSCAR):
```
ZrPaZnGa
1.0
0.000 3.468 3.468
3.468 0.000 3.468
3.468 3.468 0.000
Zr Pa Zn Ga
1 1 1 1
direct
0.000 0.000 0.000
0.500 0.500 0.500
0.250 0.250 0.250
0.750 0.750 0.750
```

---

11.
An optimized crystal structure of Zr2PaGa, computed with PBE.

Summary:
Energy relative to the elements in meV per atom: -63.7
ΔE to the lowest computed polymorph in meV per atom: 171

Structure (POSCAR):
```
Zr2PaGa
1.0
0.000 3.495 3.495
3.495 0.000 3.495
3.495 3.495 0.000
Zr Pa Ga
2 1 1
direct
0.250 0.250 0.250
0.750 0.750 0.750
0.000 0.000 0.000
0.500 0.500 0.500
```

---

12.
An optimized crystal structure of Zr2PaGa, computed with PBE.

Summary:
Energy relative to the elements in meV per atom: -146.7
ΔE to the lowest computed polymorph in meV per atom: 88

Structure (POSCAR):
```
Zr2PaGa
1.0
1.604 0.926 9.951
-1.604 0.926 9.951
0.000 -1.852 9.951
Zr Pa Ga
2 1 1
direct
0.000 0.000 0.000
0.180 0.180 0.180
0.757 0.757 0.757
0.590 0.590 0.590
```

---

Which of these has the lowest energy relative to the elements? Pa2ZnGa8